(1)
Density functional theory data (PBE) for a geometry-optimized Zr4Tl2BN structure.

Lattice parameters (Å, degrees): 3.4189 3.4189 15.0157 90.00 90.00 120.00
Space group P-3m1 (No. 164)
Inequivalent atoms, fractional coordinates:
Zr1 0.3333 0.6667 0.0788 [2 per cell]
Zr2 0.3333 0.6667 0.4139 [2 per cell]
Tl1 0.3333 0.6667 0.7547 [2 per cell]
B1 0.0000 0.0000 0.5000 [1 per cell]
N1 0.0000 0.0000 0.0000 [1 per cell]

Values from the calculation:
Spin magnetization ... 0.02 μB/cell
Total energy ... -59.4 eV/f.u.

(2)
Density functional theory data (PBE) for a geometry-optimized Tm4B3N4 structure.

Lattice parameters (Å, degrees): 3.3076 3.4269 11.5673 89.92 81.84 90.00
Space group P-1 (No. 2)
Inequivalent atoms, fractional coordinates:
Tm1 0.0712 0.9996 0.3582 [2 per cell]
Tm2 0.3213 0.5004 0.8571 [2 per cell]
B1 0.2324 0.9999 0.0352 [2 per cell]
B2 0.5000 0.5000 0.5000 [1 per cell]
N1 0.1668 0.9995 0.1670 [2 per cell]
N2 0.4346 0.5004 0.6301 [2 per cell]

Values from the calculation:
Spin magnetization ... 0.01 μB/cell
Total energy ... -84.8 eV/f.u.

(3)
Density functional theory data (PBE) for a geometry-optimized BW3N6 structure.

Lattice parameters (Å, degrees): 4.9833 4.9833 9.1846 90.00 90.00 120.00
Space group P-31c (No. 163)
Inequivalent atoms, fractional coordinates:
B1 0.3333 0.6667 0.2500 [2 per cell]
W1 0.0000 0.0000 0.2500 [2 per cell]
W2 0.3333 0.6667 0.5293 [4 per cell]
N1 0.0322 0.3612 0.1344 [12 per cell]

Values from the calculation:
Spin magnetization ... 0.06 μB/cell
Energy above the most stable polymorph in this dataset ... 381 meV per atom
Total energy ... -94.7 eV/f.u.

(4)
Density functional theory data (PBE) for a geometry-optimized BW3N6 structure.

Lattice parameters (Å, degrees): 8.1054 9.6722 4.7424 90.00 90.00 90.00
Space group Cmc2_1 (No. 36)
Inequivalent atoms, fractional coordinates:
B1 0.0000 0.2077 0.0000 [4 per cell]
W1 0.0000 0.4046 0.3801 [4 per cell]
W2 0.1747 0.0977 0.4785 [8 per cell]
N1 0.0000 0.0544 0.1183 [4 per cell]
N2 0.0000 0.2205 0.6785 [4 per cell]
N3 0.1524 0.2696 0.1685 [8 per cell]
N4 0.1636 0.4585 0.6755 [8 per cell]

Values from the calculation:
Spin magnetization ... 0.01 μB/cell
Energy above the most stable polymorph in this dataset ... 1 meV per atom
Total energy ... -98.5 eV/f.u.

(5)
Density functional theory data (PBE) for a geometry-optimized B2W3N6 structure.

Lattice parameters (Å, degrees): 4.8097 4.8097 10.5759 90.00 90.00 120.00
Space group P-31c (No. 163)
Inequivalent atoms, fractional coordinates:
B1 0.0000 0.0000 0.1280 [4 per cell]
W1 0.3333 0.6667 0.0126 [4 per cell]
W2 0.3333 0.6667 0.7500 [2 per cell]
N1 0.0195 0.3115 0.8730 [12 per cell]

Values from the calculation:
Spin magnetization ... 0.13 μB/cell
Total energy ... -106.8 eV/f.u.

(6)
Density functional theory data (PBE) for a geometry-optimized B2W3N8 structure.

Lattice parameters (Å, degrees): 5.7742 10.8945 7.9317 90.00 90.00 90.00
Space group Cmce (No. 64)
Inequivalent atoms, fractional coordinates:
B1 0.0000 0.1133 0.1096 [8 per cell]
W1 0.0000 0.0000 0.5000 [4 per cell]
W2 0.2500 0.1475 0.7500 [8 per cell]
N1 0.0000 0.0016 0.7575 [8 per cell]
N2 0.0000 0.2308 0.2174 [8 per cell]
N3 0.2245 0.1158 0.0002 [16 per cell]

Values from the calculation:
Spin magnetization ... 0.02 μB/cell
Energy above the most stable polymorph in this dataset ... 76 meV per atom
Total energy ... -120.7 eV/f.u.

(7)
Density functional theory data (PBE) for a geometry-optimized B3W10N16 structure.

Lattice parameters (Å, degrees): 5.8663 5.8663 28.3202 90.00 90.00 120.00
Space group R-3m (No. 166, hexagonal axes)
Inequivalent atoms, fractional coordinates:
B1 0.0000 0.0000 0.0000 [3 per cell]
B2 0.0000 0.0000 0.1917 [6 per cell]
W1 0.0000 0.0000 0.5000 [3 per cell]
W2 0.0000 0.5000 0.0000 [9 per cell]
W3 0.0216 0.5108 0.7576 [18 per cell]
N1 0.0000 0.0000 0.1380 [6 per cell]
N2 0.0000 0.0000 0.3789 [6 per cell]
N3 0.0383 0.5192 0.8764 [18 per cell]
N4 0.0484 0.5242 0.6301 [18 per cell]

Values from the calculation:
Spin magnetization ... 0.01 μB/cell
Total energy ... -289.9 eV/f.u.

(8)
Density functional theory data (PBE) for a geometry-optimized BW2N4 structure.

Lattice parameters (Å, degrees): 9.7605 5.7413 4.8150 90.00 90.00 90.00
Space group Pnma (No. 62)
Inequivalent atoms, fractional coordinates:
B1 0.0840 0.2500 0.0846 [4 per cell]
W1 0.0000 0.0000 0.5000 [4 per cell]
W2 0.2503 0.2500 0.5174 [4 per cell]
N1 0.0669 0.7500 0.7804 [4 per cell]
N2 0.0874 0.2500 0.7765 [4 per cell]
N3 0.1663 0.0324 0.2165 [8 per cell]

Values from the calculation:
Spin magnetization ... 0.02 μB/cell
Energy above the most stable polymorph in this dataset ... 88 meV per atom
Total energy ... -68.2 eV/f.u.

(9)
Density functional theory data (PBE) for a geometry-optimized BW2N4 structure.

Lattice parameters (Å, degrees): 5.7558 5.7558 27.6891 90.00 90.00 120.00
Space group R-3m (No. 166, hexagonal axes)
Inequivalent atoms, fractional coordinates:
B1 0.0000 0.0000 0.1441 [6 per cell]
B2 0.0000 0.0000 0.3211 [6 per cell]
W1 0.0000 0.0000 0.0000 [3 per cell]
W2 0.0000 0.0000 0.5000 [3 per cell]
W3 0.0019 0.5009 0.0879 [18 per cell]
N1 0.0000 0.0000 0.1999 [6 per cell]
N2 0.0000 0.0000 0.3753 [6 per cell]
N3 0.0367 0.5184 0.3696 [18 per cell]
N4 0.0406 0.5203 0.7912 [18 per cell]

Values from the calculation:
Spin magnetization ... 1.60 μB/cell
Energy above the most stable polymorph in this dataset ... 12 meV per atom
Total energy ... -68.8 eV/f.u.

(10)
Density functional theory data (PBE) for a geometry-optimized BW2N4 structure.

Lattice parameters (Å, degrees): 9.7604 4.8121 5.7403 90.00 90.00 90.00
Space group Pna2_1 (No. 33)
Inequivalent atoms, fractional coordinates:
B1 0.0845 0.0849 0.0000 [4 per cell]
W1 0.0012 0.4998 0.2506 [4 per cell]
W2 0.2490 0.0192 0.5009 [4 per cell]
N1 0.0668 0.7807 0.5006 [4 per cell]
N2 0.0874 0.7765 0.0005 [4 per cell]
N3 0.1663 0.2171 0.7834 [4 per cell]
N4 0.1669 0.2163 0.2172 [4 per cell]

Values from the calculation:
Spin magnetization ... 0.02 μB/cell
Energy above the most stable polymorph in this dataset ... 89 meV per atom
Total energy ... -68.2 eV/f.u.

(11)
Density functional theory data (PBE) for a geometry-optimized BW2N4 structure.

Lattice parameters (Å, degrees): 2.8373 2.8373 21.8110 90.00 90.00 120.00
Space group P6_3mc (No. 186)
Inequivalent atoms, fractional coordinates:
B1 0.0000 0.0000 0.0000 [2 per cell]
W1 0.3333 0.6667 0.1814 [2 per cell]
W2 0.3333 0.6667 0.8331 [2 per cell]
N1 0.0000 0.0000 0.1306 [2 per cell]
N2 0.0000 0.0000 0.3871 [2 per cell]
N3 0.3333 0.6667 0.0017 [2 per cell]
N4 0.3333 0.6667 0.2731 [2 per cell]

Values from the calculation:
Spin magnetization ... 0.16 μB/cell
Energy above the most stable polymorph in this dataset ... 438 meV per atom
Total energy ... -65.8 eV/f.u.

(12)
Density functional theory data (PBE) for a geometry-optimized BW2N4 structure.

Lattice parameters (Å, degrees): 5.6885 11.2976 8.1233 90.00 90.00 90.00
Space group Imma (No. 74)
Inequivalent atoms, fractional coordinates:
B1 0.0000 0.1313 0.1124 [8 per cell]
W1 0.0000 0.0000 0.5000 [4 per cell]
W2 0.0000 0.2500 0.4400 [4 per cell]
W3 0.2500 0.1101 0.7500 [8 per cell]
N1 0.0000 0.0193 0.2278 [8 per cell]
N2 0.0000 0.2500 0.2122 [4 per cell]
N3 0.0000 0.2500 0.7263 [4 per cell]
N4 0.2310 0.1303 0.0057 [16 per cell]

Values from the calculation:
Spin magnetization ... 0.01 μB/cell
Energy above the most stable polymorph in this dataset ... 0 meV per atom
Total energy ... -68.9 eV/f.u.

(13)
Density functional theory data (PBE) for a geometry-optimized BW3N6 structure.

Lattice parameters (Å, degrees): 10.2013 8.6484 4.5714 90.00 90.00 90.00
Space group Pnma (No. 62)
Inequivalent atoms, fractional coordinates:
B1 0.2155 0.2500 0.0720 [4 per cell]
W1 0.0936 0.7500 0.9843 [4 per cell]
W2 0.1179 0.0661 0.5311 [8 per cell]
N1 0.0515 0.5848 0.2429 [8 per cell]
N2 0.0764 0.2500 0.2264 [4 per cell]
N3 0.2167 0.6037 0.7197 [8 per cell]
N4 0.2176 0.2500 0.7443 [4 per cell]

Values from the calculation:
Spin magnetization ... 0.03 μB/cell
Energy above the most stable polymorph in this dataset ... 0 meV per atom
Total energy ... -98.6 eV/f.u.